No. 1
PmS2BrO6 (GGA-PBE, relaxed); M_tot = 0.00 μB/f.u.; calculated volume = 170.8 Å³/f.u.; calculated total energy = -6.123 eV per atom; SG = C2/c, No. 15
1.0
6.695 0.489 -0.260
-0.334 6.705 -0.260
-2.115 -2.392 7.756
Br O S Pm
2 12 4 2
direct
0.902 0.098 0.250
0.098 0.902 0.750
0.712 0.491 0.563
0.823 0.585 0.877
0.081 0.443 0.721
0.288 0.509 0.437
0.443 0.081 0.221
0.415 0.177 0.623
0.177 0.415 0.123
0.919 0.557 0.279
0.509 0.288 0.937
0.491 0.712 0.063
0.557 0.919 0.779
0.585 0.823 0.377
0.580 0.904 0.228
0.904 0.580 0.728
0.096 0.420 0.272
0.420 0.096 0.772
0.557 0.443 0.250
0.443 0.557 0.750

No. 2
BaLi2ZnPd (GGA-PBE, relaxed); M_tot = 0.00 μB/f.u.; energy relative to the elements = -0.150 eV/atom; calculated volume = 122.0 Å³/f.u.; offset from the most stable computed form = 0.40 eV per formula unit; SG = P4/mmm, No. 123
1.0
-0.409 4.884 -0.235
-4.773 -0.348 1.086
1.099 0.330 4.937
Li Zn Pd Ba
2 1 1 1
direct
0.500 0.000 0.000
0.000 0.500 0.000
0.000 0.000 0.000
0.000 0.000 0.500
0.500 0.500 0.500